1.
# Sc3FeCo8

Sc3FeCo8 after structural relaxation (PBE, Alexandria via LeMat-Bulk).

Lattice parameters (Å, degrees): 4.8225 4.8225 23.6184 90.00 90.00 120.00
With the nearest neighbours (Å) after each atom.
Space group R3m (No. 160, hexagonal axes)
One atom of each set of equivalent atoms:
1 Sc 0.0000 0.0000 0.0000  12 Co 2.83-2.87, 4 Sc 3.00-3.02
2 Sc 0.0000 0.0000 0.1279  12 Co 2.73-2.85, 3 Fe 2.91, 1 Sc 3.02
3 Sc 0.0000 0.0000 0.6193  12 Co 2.78-2.97, 1 Fe 2.88, 3 Sc 3.00
4 Fe 0.0000 0.0000 0.4972  12 Co 2.75-2.84, 4 Sc 2.88-2.91
5 Co 0.0000 0.0000 0.3122  6 Co 2.43-2.44
6 Co 0.0000 0.0000 0.8122  6 Co 2.38-2.39
7 Co 0.0024 0.5012 0.0634  6 Co 2.39-2.43
8 Co 0.1671 0.3341 0.8940  6 Co 2.38-2.44

Crystal system: trigonal
Energy of formation from the pure elements (eV/atom): -0.248

=====

2.
# Sc8Fe2Co

Sc8Fe2Co after structural relaxation (PBE, Alexandria via LeMat-Bulk).

Lattice parameters (Å, degrees): 7.7770 11.3725 5.1984 90.00 108.00 90.00
With the nearest neighbours (Å) after each atom.
Space group C2/m (No. 12)
One atom of each set of equivalent atoms:
1 Sc 0.0000 0.2129 0.0000  1 Co 2.42
2 Sc 0.1366 0.5000 0.8091  2 Fe 2.69, 1 Co 2.69
3 Sc 0.2026 0.1315 0.6001  2 Fe 2.54-2.60
4 Fe 0.0000 0.3119 0.5000  8 Sc 2.54-2.83
5 Co 0.0000 0.0000 0.0000  4 Sc 2.42-2.69

Crystal system: monoclinic
Energy of formation from the pure elements (eV/atom): -0.056

=====

3.
# ScFe2Co

ScFe2Co after structural relaxation (PBE, Alexandria via LeMat-Bulk).

Lattice parameters (Å, degrees): 5.9473 5.9473 5.9473 90.00 90.00 90.00
With the nearest neighbours (Å) after each atom.
Space group Fm-3m (No. 225)
One atom of each set of equivalent atoms:
1 Sc 0.0000 0.0000 0.0000  8 Fe 2.58
2 Fe 0.2500 0.2500 0.2500  4 Co 2.58, 4 Sc 2.58
3 Co 0.0000 0.0000 0.5000  8 Fe 2.58

Crystal system: cubic
Energy of formation from the pure elements (eV/atom): 0.003

=====

4.
# Sc4FeCo

Sc4FeCo after structural relaxation (PBE, Alexandria via LeMat-Bulk).

Lattice parameters (Å, degrees): 7.8119 7.8119 7.8119 90.00 90.00 90.00
With the nearest neighbours (Å) after each atom.
Space group F-43m (No. 216)
One atom of each set of equivalent atoms:
1 Sc 0.1251 0.1251 0.1251  6 Sc 2.76
2 Fe 0.0000 0.0000 0.5000  12 Sc 3.24, 4 Co 3.38
3 Co 0.2500 0.2500 0.7500  12 Sc 3.24, 4 Fe 3.38

Crystal system: cubic
Energy of formation from the pure elements (eV/atom): 0.752
Polymorph energy (0 for the lowest one) (kJ/mol of atoms): 91.1

=====

5.
# Sc4FeCo

Sc4FeCo after structural relaxation (PBE, Alexandria via LeMat-Bulk).

Lattice parameters (Å, degrees): 3.1278 3.1278 11.5987 90.00 90.00 90.00
With the nearest neighbours (Å) after each atom.
Space group P4/mmm (No. 123)
One atom of each set of equivalent atoms:
1 Sc 0.0000 0.0000 0.1288  4 Fe 2.67, 1 Sc 2.99
2 Sc 0.5000 0.5000 0.3687  4 Co 2.69
3 Fe 0.5000 0.5000 0.0000  8 Sc 2.67
4 Co 0.0000 0.0000 0.5000  8 Sc 2.69

Crystal system: tetragonal
Energy of formation from the pure elements (eV/atom): -0.192
Polymorph energy (0 for the lowest one) (kJ/mol of atoms): 0.0

=====

6.
# ScFeCo2

ScFeCo2 after structural relaxation (PBE, Alexandria via LeMat-Bulk).

Lattice parameters (Å, degrees): 2.7605 3.8105 5.2916 90.00 103.68 90.00
With the nearest neighbours (Å) after each atom.
Space group P2/m (No. 10)
One atom of each set of equivalent atoms:
1 Sc 0.0000 0.0000 0.0000  2 Fe 2.65, 8 Co 2.72-2.84, 2 Sc 2.76
2 Fe 0.0000 0.0000 0.5000  4 Co 2.37, 2 Sc 2.65
3 Co 0.4142 0.5000 0.7133  2 Fe 2.37, 1 Co 2.41

Crystal system: monoclinic
Energy of formation from the pure elements (eV/atom): 0.002

=====

In eV per atom, the uncorrected energy values for the records above are, in order, -7.27, -6.85, -7.59, -6.06, -7.01, -7.25.